[1]
GGA-PBE La3Ga2Ge4, relaxed; formation enthalpy at 0 K = -0.719 eV per atom; volume = 215.7 Å³ per cell; uncorrected energy = -5.0859 eV/atom
1.0
-1.8913 -0.2154 -3.8642
4.3278 -4.4216 0.5291
-6.5862 -4.4587 3.4721
La Ga Ge
3 2 4
Direct
0.6670 0.3341 0.6692
0.0000 0.0000 0.0000
0.3330 0.6659 0.3308
0.6386 0.2773 0.3084
0.3614 0.7227 0.6916
0.7004 0.4007 0.0378
0.2996 0.5993 0.9622
0.9666 0.9331 0.6351
0.0334 0.0669 0.3649

[2]
GGA-PBE La2Ga3Ge4, relaxed; formation enthalpy at 0 K = -0.478 eV per atom; volume = 387.1 Å³ per cell; uncorrected energy = -4.6342 eV/atom
1.0
6.1586 0.0000 0.0000
0.0000 8.2474 0.0000
-3.0793 0.0000 7.6207
La Ga Ge
4 6 8
Direct
0.1171 0.5792 0.2342
0.8829 0.4208 0.7658
0.3829 0.0792 0.7658
0.6171 0.9208 0.2342
0.0000 0.0000 0.0000
0.5000 0.5000 0.0000
0.5352 0.7500 0.5704
0.9648 0.2500 0.4296
0.4648 0.2500 0.4296
0.0352 0.7500 0.5704
0.7027 0.7500 0.9053
0.7973 0.2500 0.0947
0.2973 0.2500 0.0947
0.2027 0.7500 0.9053
0.1859 0.9452 0.3719
0.8141 0.0548 0.6281
0.3141 0.4452 0.6281
0.6859 0.5548 0.3719

[3]
GGA-PBE La7Ga2Ge2, relaxed; formation enthalpy at 0 K = -0.313 eV per atom; volume = 342.4 Å³ per cell; uncorrected energy = -4.8384 eV/atom
1.0
-0.2001 -4.1486 -5.5913
7.3568 0.8899 -0.9233
1.1800 -3.8744 5.6665
La Ga Ge
7 2 2
Direct
0.0000 0.2980 0.5000
0.5000 0.7020 0.0000
0.0000 0.7020 0.5000
0.5000 0.2980 0.0000
0.0000 0.0000 0.0000
0.5000 0.7427 0.5000
0.5000 0.2573 0.5000
0.7153 0.0000 0.2847
0.2847 0.0000 0.7153
0.8378 0.5000 0.8378
0.1622 0.5000 0.1622

[4]
GGA-PBE La2GaGe, relaxed; formation enthalpy at 0 K = -0.124 eV per atom; volume = 151.5 Å³ per cell; uncorrected energy = -4.4989 eV/atom
1.0
-1.9813 3.5925 1.0556
-1.1528 0.6809 4.0191
7.5632 5.6570 3.4436
Ge Ga La
1 1 2
Direct
0.5000 0.5000 0.5000
0.0000 0.0000 0.0000
0.1092 0.1092 0.6724
0.8908 0.8908 0.3276